The following is a DFT calculation (GGA-PBEsol) of crystalline MgTa2ZnP at its relaxed geometry.

Results
Energy of formation: 1.8813 eV per atom
Crystal system: tetragonal
Magnetization: 0.000 μB per formula unit
E_tot: -4.96 eV/atom

Cell: 4.7649 4.7649 4.3603 Å, 90.00 90.00 90.00°
Last column: nearest neighbours and their distance in Å.
Fractional coordinates of all 5 atoms:
Mg 0.0000 0.0000 0.0000  2 P 2.18, 4 Ta 2.38
Ta 0.0000 0.5000 0.0000  2 Mg 2.38
Ta 0.5000 0.0000 0.0000  2 Mg 2.38
Zn 0.5000 0.5000 0.5000  8 Ta 3.23, 4 P 3.37
P 0.0000 0.0000 0.5000  2 Mg 2.18



The following is a DFT calculation (GGA-PBEsol) of crystalline NiTePb3 at its relaxed geometry.

Results
E_form (uncorrected): 1.224 eV/atom
Crystal system: cubic
Magnetization: 0.721 μB per formula unit
E_tot: -3.11 eV/atom

Cell: 5.8593 5.8593 5.8593 Å, 90.00 90.00 90.00°
Last column: nearest neighbours and their distance in Å.
Fractional coordinates of all 5 atoms:
Ni 0.0000 0.0000 0.0000  12 Pb 4.14
Te 0.5000 0.5000 0.5000  6 Pb 2.93
Pb 0.0000 0.5000 0.5000  2 Te 2.93
Pb 0.5000 0.0000 0.5000  2 Te 2.93
Pb 0.5000 0.5000 0.0000  2 Te 2.93



The following is a DFT calculation (GGA-PBEsol) of crystalline NbSiN2F at its relaxed geometry.

Results
E_form (uncorrected): -0.245 eV/atom
Crystal system: tetragonal
Magnetization: 0.000 μB per formula unit
E_tot: -7.35 eV/atom

Cell: 4.0885 4.0885 3.9742 Å, 90.00 90.00 90.00°
Last column: nearest neighbours and their distance in Å.
Fractional coordinates of all 5 atoms:
Nb 0.0000 0.0000 0.0000  2 F 1.99, 4 N 2.04
Si 0.5000 0.5000 0.5000  8 N 2.85, 4 F 2.89
N 0.0000 0.5000 0.0000  2 Nb 2.04
N 0.5000 0.0000 0.0000  2 Nb 2.04
F 0.0000 0.0000 0.5000  2 Nb 1.99



The following is a DFT calculation (GGA-PBEsol) of crystalline La2MgTl at its relaxed geometry.

Results
Excess energy over the best structure of this formula in the dataset: 0.0000 eV/atom
Energy of formation: -0.2946 eV per atom
Crystal system: cubic
Magnetization: 0.001 μB per formula unit
E_tot: -4.05 eV/atom

Cell: 7.8097 7.8097 7.8097 Å, 90.00 90.00 90.00°
Last column: nearest neighbours and their distance in Å.
Fractional coordinates of all 16 atoms:
La 0.2500 0.2500 0.2500  4 Tl 3.38, 4 Mg 3.38
La 0.2500 0.2500 0.7500  4 Tl 3.38, 4 Mg 3.38
La 0.2500 0.7500 0.2500  4 Tl 3.38, 4 Mg 3.38
La 0.2500 0.7500 0.7500  4 Tl 3.38, 4 Mg 3.38
La 0.7500 0.2500 0.2500  4 Tl 3.38, 4 Mg 3.38
La 0.7500 0.2500 0.7500  4 Tl 3.38, 4 Mg 3.38
La 0.7500 0.7500 0.2500  4 Tl 3.38, 4 Mg 3.38
La 0.7500 0.7500 0.7500  4 Tl 3.38, 4 Mg 3.38
Mg 0.0000 0.0000 0.0000  8 La 3.38
Mg 0.0000 0.5000 0.5000  8 La 3.38
Mg 0.5000 0.0000 0.5000  8 La 3.38
Mg 0.5000 0.5000 0.0000  8 La 3.38
Tl 0.0000 0.0000 0.5000  8 La 3.38
Tl 0.0000 0.5000 0.0000  8 La 3.38
Tl 0.5000 0.0000 0.0000  8 La 3.38
Tl 0.5000 0.5000 0.5000  8 La 3.38



The following is a DFT calculation (GGA-PBEsol) of crystalline SrCaSnP2O8 at its relaxed geometry.

Results
E_form (uncorrected): -2.534 eV/atom
Crystal system: triclinic
Magnetization: 0.000 μB per formula unit
E_tot: -7.29 eV/atom

Cell: 5.6156 6.8580 10.1102 Å, 108.55 98.08 98.62°
Last column: nearest neighbours and their distance in Å.
Fractional coordinates of all 26 atoms:
Sr 0.2385 0.2106 0.4550  7 O 2.50-2.70
Sr 0.7615 0.7894 0.5450  7 O 2.50-2.70
Ca 0.4506 0.5787 0.8369  5 O 2.31-2.46
Ca 0.5494 0.4213 0.1631  5 O 2.31-2.46
Sn 0.1645 0.8300 0.0868  3 O 2.21-2.35
Sn 0.8355 0.1700 0.9132  3 O 2.21-2.35
P 0.1560 0.5981 0.2943  4 O 1.54-1.56
P 0.2795 0.0229 0.7749  4 O 1.52-1.57
P 0.7205 0.9771 0.2251  4 O 1.52-1.57
P 0.8440 0.4019 0.7057  4 O 1.54-1.56
O 0.0370 0.9256 0.8114  1 P 1.57
O 0.0889 0.4550 0.6611  1 P 1.54
O 0.1475 0.4808 0.1332  1 P 1.56
O 0.2181 0.8350 0.3092  1 P 1.56
O 0.2275 0.0009 0.6182  1 P 1.52
O 0.3674 0.2558 0.8805  1 P 1.57
O 0.3724 0.5398 0.3770  1 P 1.55
O 0.4836 0.8998 0.8048  1 P 1.57
O 0.5164 0.1002 0.1952  1 P 1.57
O 0.6276 0.4602 0.6230  1 P 1.55
O 0.6326 0.7442 0.1195  1 P 1.57
O 0.7725 0.9991 0.3818  1 P 1.52
O 0.7819 0.1650 0.6908  1 P 1.56
O 0.8525 0.5192 0.8668  1 P 1.56
O 0.9111 0.5450 0.3389  1 P 1.54
O 0.9630 0.0744 0.1886  1 P 1.57



The following is a DFT calculation (GGA-PBEsol) of crystalline SrAl2Cu at its relaxed geometry.

Results
Energy of formation: -0.2200 eV per atom
Crystal system: trigonal
Magnetization: 0.000 μB per formula unit
E_tot: -3.81 eV/atom

Cell: 4.2590 4.2590 17.0708 Å, 90.00 90.00 120.00°
Last column: nearest neighbours and their distance in Å.
Fractional coordinates of all 12 atoms:
Sr 0.0000 0.0000 0.0000  1 Cu 3.15, 7 Al 3.36-3.41
Sr 0.3333 0.6667 0.6667  1 Cu 3.15, 7 Al 3.36-3.41
Sr 0.6667 0.3333 0.3333  1 Cu 3.15, 7 Al 3.36-3.41
Al 0.0000 0.0000 0.5300  3 Cu 2.47, 3 Al 2.68
Al 0.0000 0.0000 0.8004  3 Cu 2.61, 3 Al 2.68
Al 0.3333 0.6667 0.1967  3 Cu 2.47, 3 Al 2.68
Al 0.3333 0.6667 0.4671  3 Cu 2.61, 3 Al 2.68
Al 0.6667 0.3333 0.1338  3 Cu 2.61, 3 Al 2.68
Al 0.6667 0.3333 0.8634  3 Cu 2.47, 3 Al 2.68
Cu 0.0000 0.0000 0.1846  6 Al 2.47-2.61
Cu 0.3333 0.6667 0.8513  6 Al 2.47-2.61
Cu 0.6667 0.3333 0.5180  6 Al 2.47-2.61



The following is a DFT calculation (GGA-PBEsol) of crystalline Ta2FeW at its relaxed geometry.

Results
Energy of formation: 0.0782 eV per atom
Crystal system: cubic
Magnetization: 0.773 μB per formula unit
E_tot: -11.89 eV/atom

Cell: 6.2434 6.2434 6.2434 Å, 90.00 90.00 90.00°
Last column: nearest neighbours and their distance in Å.
Fractional coordinates of all 16 atoms:
Ta 0.0000 0.0000 0.0000  4 Ta 2.70, 4 W 2.70
Ta 0.0000 0.5000 0.5000  4 Ta 2.70, 4 W 2.70
Ta 0.2500 0.2500 0.2500  4 Fe 2.70, 4 Ta 2.70
Ta 0.2500 0.7500 0.7500  4 Fe 2.70, 4 Ta 2.70
Ta 0.5000 0.0000 0.5000  4 Ta 2.70, 4 W 2.70
Ta 0.5000 0.5000 0.0000  4 Ta 2.70, 4 W 2.70
Ta 0.7500 0.2500 0.7500  4 Fe 2.70, 4 Ta 2.70
Ta 0.7500 0.7500 0.2500  4 Ta 2.70, 4 Fe 2.70
Fe 0.0000 0.0000 0.5000  4 W 2.70, 4 Ta 2.70
Fe 0.0000 0.5000 0.0000  4 W 2.70, 4 Ta 2.70
Fe 0.5000 0.0000 0.0000  4 W 2.70, 4 Ta 2.70
Fe 0.5000 0.5000 0.5000  4 W 2.70, 4 Ta 2.70
W 0.2500 0.2500 0.7500  4 Ta 2.70, 4 Fe 2.70
W 0.2500 0.7500 0.2500  4 Ta 2.70, 4 Fe 2.70
W 0.7500 0.2500 0.2500  4 Ta 2.70, 4 Fe 2.70
W 0.7500 0.7500 0.7500  4 Ta 2.70, 4 Fe 2.70



The following is a DFT calculation (GGA-PBEsol) of crystalline CaAgS2Cl at its relaxed geometry.

Results
E_form (uncorrected): -0.614 eV/atom
Crystal system: tetragonal
Magnetization: 0.000 μB per formula unit
E_tot: -3.86 eV/atom

Cell: 4.7792 4.7792 4.8935 Å, 90.00 90.00 90.00°
Last column: nearest neighbours and their distance in Å.
Fractional coordinates of all 5 atoms:
Ca 0.0000 0.0000 0.0000  4 Cl 3.38, 8 S 3.42
Ag 0.5000 0.5000 0.5000  4 S 2.39, 2 Cl 2.45
S 0.0000 0.5000 0.5000  2 Ag 2.39
S 0.5000 0.0000 0.5000  2 Ag 2.39
Cl 0.5000 0.5000 0.0000  2 Ag 2.45